No. 1
A plane-wave DFT calculation with PBE-GGA was carried out for crystalline CaCe5Ir4 at its relaxed geometry.

As for the size of the total moment: 2.98 μB/f.u. The total energy comes out at -7.202 eV/atom.

The structure belongs to space group Immm (No. 71); the cell edges are 4.1672, 7.6808 and 16.8217 Å and the angles 90.00°, 90.00° and 90.00°. The distinct sites, in fractional coordinates, are Ca at (0.0000, 0.0000, 0.0000), Ce at (0.0000, 0.2597, 0.3358), Ce at (0.0000, 0.5000, 0.0000), Ir at (0.0000, 0.0000, 0.2074) and Ir at (0.0000, 0.2305, 0.5000).



No. 2
A plane-wave DFT calculation with PBE-GGA was carried out for crystalline Pr3Cd11 at its relaxed geometry.

As for the size of the total moment: 0.00 μB/f.u. The total energy comes out at -2.014 eV/atom.

The structure belongs to space group Immm (No. 71); the cell edges are 4.9571, 9.8816 and 14.3194 Å and the angles 90.00°, 90.00° and 90.00°. The distinct sites, in fractional coordinates, are Pr at (0.0000, 0.0000, 0.0000), Pr at (0.0000, 0.0000, 0.2910), Cd at (0.0000, 0.1722, 0.5000), Cd at (0.0000, 0.2836, 0.1424), Cd at (0.0000, 0.3606, 0.3453) and Cd at (0.0000, 0.5000, 0.0000).



> Which of these has the lowest size of the total moment?

Pr3Cd11



> Among the records above, which one has the highest size of the total moment?

CaCe5Ir4



> Look up the size of the total moment of the second one.

0.00 μB/f.u.